The following is a GGA-PBE calculation of a relaxed structure of CdFeNi2, from the Alexandria database.

Cell: 4.3310 2.7261 4.5731 Å, 89.98 90.00 90.00°
Closest atoms and distances in Å follow each position.
Element x y z (fractional)
Ni 0.5000 0.1250 0.2820  2 Fe 2.48, 4 Ni 2.66-2.73, 4 Cd 2.66
Fe 0.5000 0.6249 0.8299  6 Ni 2.48-2.61, 2 Fe 2.73
Cd 0.0000 0.6251 0.4443  8 Ni 2.66, 2 Cd 2.73, 2 Fe 2.79
Ni 0.0000 0.1250 0.9438  4 Fe 2.61, 4 Cd 2.66, 4 Ni 2.66-2.73

Size of the total moment in μB per atom: 0.93
Formation energy in meV/atom: 165.9
D(E_F) in states/eV/atom: 0.962
Electronic total energy in eV/atom: -5.07
Space-group type: Pmm2, No. 25



The following is a GGA-PBE calculation of a relaxed structure of Cd2FeNi, from the Alexandria database.

Cell: 4.6620 4.6620 4.6620 Å, 126.26 126.30 79.43°
Closest atoms and distances in Å follow each position.
Element x y z (fractional)
Cd 0.0000 0.0000 0.0000  4 Fe 2.77, 4 Ni 2.77, 4 Cd 2.98
Ni 0.2500 0.7500 0.5000  8 Cd 2.77, 4 Fe 2.98
Fe 0.7500 0.2500 0.5000  8 Cd 2.77, 4 Ni 2.98
Cd 0.5000 0.5000 0.0000  4 Fe 2.77, 4 Ni 2.77, 4 Cd 2.98

Polymorph energy (0 for the lowest one) in meV per atom: 166
Size of the total moment in μB per atom: 0.70
Formation energy in meV/atom: 288.5
D(E_F) in states/eV/atom: 1.277
Electronic total energy in eV/atom: -3.73
Space-group type: I4/mmm, No. 139



The following is a GGA-PBE calculation of a relaxed structure of Cd2FeNi, from the Alexandria database.

Cell: 4.7227 4.7227 2.8905 Å, 89.94 89.94 100.52°
Closest atoms and distances in Å follow each position.
Element x y z (fractional)
Cd 0.0000 0.0000 0.0000  4 Ni 2.77, 4 Fe 2.77, 4 Cd 2.89-3.02
Cd 0.5000 0.5000 0.0000  4 Fe 2.77, 4 Ni 2.77, 4 Cd 2.89-3.02
Fe 0.5000 0.0000 0.5000  8 Cd 2.77, 2 Fe 2.89, 2 Ni 3.02
Ni 0.0000 0.5000 0.5000  8 Cd 2.77, 2 Ni 2.89, 2 Fe 3.02

Polymorph energy (0 for the lowest one) in meV per atom: 158
Size of the total moment in μB per atom: 0.60
Formation energy in meV/atom: 280.5
D(E_F) in states/eV/atom: 0.980
Electronic total energy in eV/atom: -3.74
Space-group type: Cmmm, No. 65



The following is a GGA-PBE calculation of a relaxed structure of CdFeNi2, from the Alexandria database.

Cell: 5.0768 5.0768 5.0768 Å, 147.17 129.74 61.35°
Closest atoms and distances in Å follow each position.
Element x y z (fractional)
Ni 0.0029 0.0029 0.0000  2 Fe 2.45, 2 Ni 2.52, 4 Cd 2.59
Cd 0.5013 0.5013 0.0000  6 Ni 2.59-2.72, 2 Fe 2.77, 2 Cd 2.87
Ni 0.7653 0.2653 0.5000  2 Ni 2.52, 4 Fe 2.61, 2 Cd 2.72
Fe 0.2305 0.7305 0.5000  6 Ni 2.45-2.61

Size of the total moment in μB per atom: 0.93
Formation energy in meV/atom: 190.5
D(E_F) in states/eV/atom: 0.903
Electronic total energy in eV/atom: -5.04
Space-group type: Imm2, No. 44



The following is a GGA-PBE calculation of a relaxed structure of CdFeNi2, from the Alexandria database.

Cell: 4.4099 4.4099 4.8818 Å, 80.32 80.32 35.59°
Closest atoms and distances in Å follow each position.
Element x y z (fractional)
Ni 0.0085 0.0085 0.9601  4 Ni 2.48-2.70, 3 Fe 2.50-2.56, 3 Cd 2.67-2.73
Ni 0.4915 0.4915 0.5399  4 Ni 2.48-2.70, 3 Fe 2.50-2.56, 3 Cd 2.67-2.73
Fe 0.7500 0.7500 0.7500  6 Ni 2.50-2.56, 2 Fe 2.70, 4 Cd 2.79
Cd 0.2500 0.2500 0.2500  6 Ni 2.67-2.73, 2 Cd 2.70, 4 Fe 2.79

Size of the total moment in μB per atom: 0.88
Formation energy in meV/atom: 178.1
D(E_F) in states/eV/atom: 1.175
Electronic total energy in eV/atom: -5.06
Space-group type: C2/m, No. 12



The following is a GGA-PBE calculation of a relaxed structure of CdFe4Ni, from the Alexandria database.

Cell: 4.7862 4.7862 4.7862 Å, 60.00 60.00 60.00°
Closest atoms and distances in Å follow each position.
Element x y z (fractional)
Ni 0.7500 0.7500 0.7500  12 Fe 2.81, 4 Cd 2.93
Fe 0.8735 0.3755 0.3755  6 Fe 2.38-2.40
Cd 0.0000 0.0000 0.0000  12 Fe 2.81, 4 Ni 2.93
Fe 0.3755 0.3755 0.3755  6 Fe 2.38-2.40
Fe 0.3755 0.8735 0.3755  6 Fe 2.38-2.40
Fe 0.3755 0.3755 0.8735  6 Fe 2.38-2.40

Size of the total moment in μB per atom: 1.46
Formation energy in meV/atom: 242.0
D(E_F) in states/eV/atom: 1.064
Electronic total energy in eV/atom: -6.52
Space-group type: F-43m, No. 216



The following is a GGA-PBE calculation of a relaxed structure of Cd2FeNi, from the Alexandria database.

Cell: 2.9933 2.9459 7.3865 Å, 90.00 90.00 90.00°
Closest atoms and distances in Å follow each position.
Element x y z (fractional)
Cd 0.0000 0.0000 0.9588  4 Ni 2.78, 4 Cd 2.95-2.99, 1 Fe 3.06
Ni 0.5000 0.5000 0.7117  4 Fe 2.44
Cd 0.5000 0.5000 0.2850  4 Fe 2.84, 4 Cd 2.95-2.99, 1 Ni 3.15
Fe 0.0000 0.0000 0.5445  4 Ni 2.44

Polymorph energy (0 for the lowest one) in meV per atom: 0
Size of the total moment in μB per atom: 0.82
Formation energy in meV/atom: 122.2
D(E_F) in states/eV/atom: 0.563
Electronic total energy in eV/atom: -3.90
Space-group type: Pmm2, No. 25



The following is a GGA-PBE calculation of a relaxed structure of CdFeNi2, from the Alexandria database.

Cell: 3.7335 3.7335 8.9786 Å, 78.00 78.00 90.00°
Closest atoms and distances in Å follow each position.
Element x y z (fractional)
Cd 0.0000 0.0000 0.0000  4 Ni 2.57, 4 Fe 2.64
Cd 0.7500 0.2500 0.5000  4 Ni 2.57, 4 Fe 2.64
Fe 0.5000 0.5000 0.0000  4 Ni 2.47, 4 Cd 2.64
Fe 0.2500 0.7500 0.5000  4 Ni 2.47, 4 Cd 2.64
Ni 0.1609 0.6250 0.2500  2 Ni 2.46, 2 Fe 2.47, 2 Cd 2.57
Ni 0.3750 0.4109 0.7500  2 Ni 2.46, 2 Fe 2.47, 2 Cd 2.57
Ni 0.8750 0.8391 0.7500  2 Ni 2.46, 2 Fe 2.47, 2 Cd 2.57
Ni 0.5891 0.1250 0.2500  2 Ni 2.46, 2 Fe 2.47, 2 Cd 2.57

Size of the total moment in μB per atom: 0.94
Formation energy in meV/atom: 561.7
D(E_F) in states/eV/atom: 1.096
Electronic total energy in eV/atom: -4.67
Space-group type: I-42d, No. 122



Question: The lowest formation energy belongs to which entry?
Answer: number 7



Question: Look up the size of the total moment of the seventh one.
Answer: 0.82 μB per atom